A plane-wave DFT calculation with PBE was carried out for crystalline YTlNi2 at its relaxed geometry.

Unit cell a=6.565 b=6.565 c=6.565 alpha=90.00 beta=90.00 gamma=90.00
Space group Fm-3m (No. 225)
Unique sites:
Y: 0.000 0.000 0.000 (multiplicity 4)
Tl: 0.000 0.000 0.500 (multiplicity 4)
Ni: 0.250 0.250 0.250 (multiplicity 8)

Calculated values
As for the volume: 71 Å³/f.u. The formation energy comes out at -18.3 kJ/mol of atoms.